First-principles (GGA-PBE) data for an optimized crystal structure of Zr12Hg3Bi, as listed in the Alexandria database.

Unit cell a=4.4852 b=4.4852 c=17.6922 alpha=90.00 beta=90.00 gamma=90.00
Element x y z (fractional)
1 Zr 0.5000 0.5000 0.0000
2 Zr 0.5000 0.5000 0.2527
3 Zr 0.5000 0.5000 0.5000
4 Zr 0.5000 0.5000 0.7473
5 Zr 0.5000 0.0000 0.1265
6 Zr 0.5000 0.0000 0.3754
7 Zr 0.5000 0.0000 0.6246
8 Zr 0.5000 0.0000 0.8735
9 Zr 0.0000 0.5000 0.1265
10 Zr 0.0000 0.5000 0.3754
11 Zr 0.0000 0.5000 0.6246
12 Zr 0.0000 0.5000 0.8735
13 Hg 0.0000 0.0000 0.2515
14 Hg 0.0000 0.0000 0.5000
15 Hg 0.0000 0.0000 0.7485
16 Bi 0.0000 0.0000 0.0000

Calculated values
Formation enthalpy at 0 K (meV/atom): -147
Crystal system: tetragonal
SG: P4/mmm

***

First-principles (GGA-PBE) data for an optimized crystal structure of SiHg2Te, as listed in the Alexandria database.

Unit cell a=4.0729 b=4.0992 c=6.5125 alpha=90.00 beta=90.00 gamma=90.00
Element x y z (fractional)
1 Hg 0.0000 0.0000 0.0000
2 Hg 0.5000 0.5000 0.0000
3 Si 0.5000 0.0000 0.5000
4 Te 0.0000 0.5000 0.5000

Calculated values
Crystal system: orthorhombic
SG: Pmmm
Formation energy without anion corrections (eV per atom): 0.329
E above lowest polymorph (meV per atom): 214.4

***

First-principles (GGA-PBE) data for an optimized crystal structure of BeHSe, as listed in the Alexandria database.

Unit cell a=6.2721 b=3.6900 c=10.1078 alpha=90.00 beta=126.61 gamma=90.00
Element x y z (fractional)
1 Be 0.3887 0.0000 0.2600
2 Be 0.3887 0.5000 0.7600
3 Be 0.0109 0.0000 0.9068
4 Be 0.0109 0.5000 0.4068
5 H 0.8362 0.0000 0.1230
6 H 0.8362 0.5000 0.6230
7 H 0.2286 0.0000 0.0805
8 H 0.2286 0.5000 0.5805
9 Se 0.0784 0.0000 0.3101
10 Se 0.0784 0.5000 0.8101
11 Se 0.6254 0.0000 0.8646
12 Se 0.6254 0.5000 0.3646

Calculated values
Crystal system: monoclinic
SG: Cm
E above lowest polymorph (meV per atom): 129.6

***

First-principles (GGA-PBE) data for an optimized crystal structure of Ca2TcPd, as listed in the Alexandria database.

Unit cell a=4.9948 b=4.9948 c=4.9948 alpha=60.00 beta=60.00 gamma=60.00
Element x y z (fractional)
1 Ca 0.2500 0.2500 0.2500
2 Ca 0.7500 0.7500 0.7500
3 Tc 0.0000 0.0000 0.0000
4 Pd 0.5000 0.5000 0.5000

Calculated values
Formation enthalpy at 0 K (meV/atom): 302
Crystal system: cubic
SG: Fm-3m
E above lowest polymorph (meV per atom): 0.0

***

First-principles (GGA-PBE) data for an optimized crystal structure of Ca2GdH6, as listed in the Alexandria database.

Unit cell a=5.6362 b=5.6362 c=5.6362 alpha=60.00 beta=60.00 gamma=60.00
Element x y z (fractional)
1 Ca 0.7500 0.7500 0.7500
2 Ca 0.2500 0.2500 0.2500
3 Gd 0.0000 0.0000 0.0000
4 H 0.2690 0.7310 0.7310
5 H 0.7310 0.7310 0.2690
6 H 0.7310 0.2690 0.7310
7 H 0.7310 0.2690 0.2690
8 H 0.2690 0.2690 0.7310
9 H 0.2690 0.7310 0.2690

Calculated values
Crystal system: cubic
SG: Fm-3m
Total energy (eV per atom): -4.36